1.
! GGA-PBE Mg2ZrTa, relaxed; values from VASP
&SYSTEM
  ibrav = 0, nat = 4, ntyp = 3
/
ATOMIC_SPECIES
Mg 24.30 Mg.upf
Ta 180.95 Ta.upf
Zr 91.22 Zr.upf
ATOMIC_POSITIONS angstrom
Mg 0.000 1.882 2.765
Ta 2.592 0.964 1.409
Zr 2.592 2.892 4.226
Mg 0.000 0.047 0.052
CELL_PARAMETERS angstrom
5.183 0.000 0.000
0.000 2.798 -0.030
0.000 1.059 5.664
! calculated volume: 20.57 Å³ per atom
! ΔH_f (0 K): 0.23 eV/atom
! energy above the most stable polymorph in this dataset: 53 kJ/mol of formula units

***

2.
! GGA-PBE ZnAuSe2, relaxed; values from VASP
&SYSTEM
  ibrav = 0, nat = 4, ntyp = 3
/
ATOMIC_SPECIES
Au 196.97 Au.upf
Se 78.96 Se.upf
Zn 65.41 Zn.upf
ATOMIC_POSITIONS angstrom
Au -6.857 -12.433 -19.892
Se -8.918 -16.168 -25.868
Se -4.797 -8.697 -13.915
Zn -2.286 -4.144 -6.631
CELL_PARAMETERS angstrom
-1.414 -5.347 -9.515
-3.442 -6.930 -7.827
-4.287 -4.300 -9.180
! ΔE_f (raw): 218 meV/atom
! calculated volume: 22.26 Å³ per atom

***

3.
! GGA-PBE Tb2YTm3S6, relaxed; values from VASP
&SYSTEM
  ibrav = 0, nat = 12, ntyp = 4
/
ATOMIC_SPECIES
S 32.06 S.upf
Tb 158.93 Tb.upf
Tm 168.93 Tm.upf
Y 88.91 Y.upf
ATOMIC_POSITIONS angstrom
S 1.448 4.073 3.897
Tb -0.777 4.134 5.558
S -1.726 1.750 4.521
Tb 0.498 1.689 2.859
Tm -2.636 -0.553 3.424
S 0.543 2.673 7.525
S -1.281 -1.944 5.329
S -0.821 3.150 0.892
Tm -0.367 0.368 6.419
Tm 0.088 5.455 1.998
Y -1.770 0.768 -0.145
S 1.002 7.767 3.088
CELL_PARAMETERS angstrom
-3.539 1.536 -0.290
-1.732 -2.642 7.138
4.993 6.929 1.570
! ΔE_f (raw): -1970 meV/atom
! calculated volume: 20.69 Å³ per atom

***

4.
! GGA-PBE Pm3GeP, relaxed; values from VASP
&SYSTEM
  ibrav = 0, nat = 10, ntyp = 3
/
ATOMIC_SPECIES
Pm 145.00 Pm.upf
Ge 72.64 Ge.upf
P 30.97 P.upf
ATOMIC_POSITIONS angstrom
Pm 3.717 -3.730 -0.551
Ge 6.958 -5.063 -1.325
Ge 2.705 -1.610 -2.639
Pm 7.473 -2.561 0.272
Pm 9.532 -4.058 -2.822
Pm 2.191 -4.112 -4.235
Pm 0.132 -2.616 -1.141
P 0.000 0.000 0.000
P 4.932 -1.533 0.812
Pm 5.946 -2.943 -3.413
CELL_PARAMETERS angstrom
-1.356 -3.853 0.961
1.155 0.245 -6.549
9.864 -3.065 1.625
! calculated volume: 27.71 Å³ per atom
! ΔH_f (0 K): -0.97 eV/atom
! energy above the most stable polymorph in this dataset: 9 kJ/mol of formula units

***

5.
! GGA-PBE BeOs2, relaxed; values from VASP
&SYSTEM
  ibrav = 0, nat = 6, ntyp = 2
/
ATOMIC_SPECIES
Os 190.23 Os.upf
Be 9.01 Be.upf
ATOMIC_POSITIONS angstrom
Os 0.000 4.061 3.536
Os 0.000 7.087 2.157
Os 0.000 9.716 1.455
Be 0.000 7.914 5.396
Be 0.000 3.235 0.298
Os 0.000 1.432 4.238
CELL_PARAMETERS angstrom
1.395 4.807 0.086
-1.395 4.807 0.086
0.000 1.535 5.522
! calculated volume: 12.28 Å³ per atom
! ΔH_f (0 K): -0.04 eV/atom